VASP calculation (PBE) on YHgIr2 after structural relaxation.

Its total magnetization is 0.00 μB/f.u. Its formation energy from the elements is -124 meV/atom.

It has space group I-4m2 (No. 119), with a = 4.0995 Å, b = 4.0995 Å, c = 8.8310 Å, α = 90.00°, β = 90.00° and γ = 90.00°. The asymmetric unit holds Y at (0.0000, 0.0000, 0.0000), Hg at (0.0000, 0.5000, 0.7500), Ir at (0.0000, 0.0000, 0.5000) and Ir at (0.0000, 0.5000, 0.2500).